Entry 1:
# Li8Co5O10

A PBEsol-optimized structure of Li8Co5O10 (SCAN, the Alexandria database).

Values from the calculation:
The value obtained for the total moment is 5.0 μB/cell. The raw total energy is -8.9872 eV/atom. For the density of states at the Fermi level, the calculation gives 1.34 states/eV/f.u. Its uncorrected formation energy is -1.685 eV per atom.

abc: 5.0603 6.3318 8.1817
angles: 92.38 105.13 111.73
Closest atoms and distances in Å follow each position.
Fractional coordinates of all 23 atoms:
O  0.4844  0.2213  0.9339  2 Co 1.83-1.84, 3 Li 1.92-2.00
O  0.3053  0.5817  0.4840  2 Co 1.84-1.86, 3 Li 1.91-1.96
O  0.7267  0.9974  0.6403  2 Co 1.81-1.82, 3 Li 1.92-2.01
O  0.6726  0.4106  0.5559  2 Co 1.82-1.84, 3 Li 1.94-2.01
O  0.0999  0.3794  0.8746  2 Co 1.87-1.88, 4 Li 1.97-2.02
O  0.8994  0.6214  0.1106  2 Co 1.81-1.82, 3 Li 1.95-1.98
O  0.9156  0.1777  0.2652  2 Co 1.82-1.84, 3 Li 1.92-2.00
O  0.2999  0.0178  0.3227  2 Co 1.86-1.89, 4 Li 1.97-2.02
O  0.1007  0.8225  0.7186  2 Co 1.82, 3 Li 1.92-1.98
O  0.4996  0.7723  0.0950  2 Co 1.82-1.83, 3 Li 1.94-1.98
Li  0.6641  0.2468  0.7509  4 O 1.93-2.00
Li  0.1078  0.6951  0.9333  4 O 1.94-2.02
Li  0.4837  0.0773  0.1360  4 O 1.92-2.00
Li  0.1155  0.5207  0.6605  4 O 1.91-2.01
Li  0.9165  0.3201  0.0622  4 O 1.92-2.00
Li  0.2945  0.7017  0.2703  4 O 1.93-2.02
Li  0.2817  0.8777  0.5366  4 O 1.92-2.01
Li  0.7319  0.1585  0.4461  4 O 1.92-1.98
Co  0.9014  0.8945  0.1917  4 O 1.82-1.86
Co  0.2983  0.2998  0.4056  4 O 1.82-1.89
Co  0.5023  0.5064  0.0018  4 O 1.81-1.87
Co  0.0962  0.0951  0.7955  4 O 1.82-1.88
Co  0.7019  0.7045  0.6088  4 O 1.81-1.84



Entry 2:
# Li4Co3O7

A PBEsol-optimized structure of Li4Co3O7 (SCAN, the Alexandria database).

Values from the calculation:
The value obtained for the total moment is 2.0 μB/cell. The raw total energy is -9.3524 eV/atom. For the density of states at the Fermi level, the calculation gives 3.50 states/eV/f.u. Its uncorrected formation energy is -1.846 eV per atom.

abc: 4.8583 4.8879 9.7344
angles: 99.78 99.54 99.66
Closest atoms and distances in Å follow each position.
Fractional coordinates of all 28 atoms:
O  0.6399  0.2551  0.0404  3 Co 1.90-1.92, 3 Li 2.08-2.11
O  0.3809  0.6931  0.4673  2 Co 1.86, 3 Li 1.99-2.04
O  0.2322  0.4618  0.6850  2 Co 1.86-1.88, 3 Li 1.96-2.06
O  0.9208  0.8469  0.6208  2 Co 1.86-1.88, 4 Li 1.97-2.06
O  0.5035  0.0295  0.2449  3 Co 1.89-1.92, 1 Li 2.07
O  0.7888  0.6000  0.8166  3 Co 1.90-1.92, 3 Li 2.08-2.09
O  0.0792  0.1531  0.3792  2 Co 1.86-1.88, 4 Li 1.97-2.06
O  0.0676  0.1124  0.8985  3 Co 1.89-1.92, 2 Li 2.09
O  0.4965  0.9705  0.7551  3 Co 1.89-1.92, 1 Li 2.07
O  0.7678  0.5382  0.3150  2 Co 1.86-1.88, 3 Li 1.96-2.06
O  0.9324  0.8876  0.1015  3 Co 1.89-1.92, 2 Li 2.09
O  0.6191  0.3069  0.5327  2 Co 1.86, 3 Li 1.99-2.04
O  0.3601  0.7449  0.9596  3 Co 1.90-1.92, 3 Li 2.08-2.11
O  0.2112  0.4000  0.1834  3 Co 1.90-1.92, 3 Li 2.08-2.09
Li  0.5723  0.6448  0.1452  6 O 1.96-2.11
Li  0.0000  0.5000  0.0000  6 O 2.08-2.09
Li  0.8574  0.2204  0.7068  6 O 1.97-2.17
Li  0.1426  0.7796  0.2932  6 O 1.97-2.17
Li  0.4277  0.3552  0.8548  6 O 1.96-2.11
Li  0.2739  0.0702  0.5678  6 O 1.99-2.13
Li  0.0000  0.5000  0.5000  6 O 2.02-2.03
Li  0.7261  0.9298  0.4322  6 O 1.99-2.13
Co  0.1414  0.7839  0.7827  6 O 1.86-1.92
Co  0.4299  0.3585  0.3597  6 O 1.86-1.92
Co  0.8586  0.2161  0.2173  6 O 1.86-1.92
Co  0.7139  0.9281  0.9279  6 O 1.89-1.90
Co  0.5701  0.6415  0.6403  6 O 1.86-1.92
Co  0.2861  0.0719  0.0721  6 O 1.89-1.90



Entry 3:
# Li4Co3O7

A PBEsol-optimized structure of Li4Co3O7 (SCAN, the Alexandria database).

Values from the calculation:
The value obtained for the total moment is 2.0 μB/cell. The raw total energy is -9.3522 eV/atom. For the density of states at the Fermi level, the calculation gives 3.19 states/eV/f.u. Its uncorrected formation energy is -1.846 eV per atom.

abc: 4.8611 5.6391 8.4493
angles: 90.41 95.46 106.78
Closest atoms and distances in Å follow each position.
Fractional coordinates of all 28 atoms:
Co  0.9990  0.9981  0.9976  6 O 1.86-1.92
Co  0.7142  0.4284  0.4293  6 O 1.89-1.91
Co  0.2864  0.5740  0.5745  6 O 1.85-1.92
Co  0.8581  0.7162  0.7167  6 O 1.86-1.92
Co  0.5707  0.1403  0.1398  6 O 1.85-1.92
Co  0.1430  0.2858  0.2850  6 O 1.89-1.91
Li  0.7144  0.9287  0.4291  6 O 1.97-2.10
Li  0.8469  0.2079  0.7199  6 O 1.97-2.17
Li  0.4285  0.8571  0.8571  6 O 2.02-2.03
Li  0.1428  0.7856  0.2851  6 O 1.97-2.10
Li  0.0103  0.5064  0.9943  6 O 1.97-2.17
Li  0.4285  0.3571  0.8571  6 O 2.08-2.12
Li  0.2882  0.0671  0.5809  6 O 2.04-2.17
Li  0.5690  0.6473  0.1335  6 O 2.04-2.17
O  0.9941  0.7264  0.5099  3 Co 1.90-1.92, 3 Li 2.08-2.09
O  0.1145  0.0186  0.7925  2 Co 1.86-1.87, 3 Li 1.97-2.04
O  0.2849  0.8487  0.0744  2 Co 1.86-1.89, 4 Li 1.97-2.07
O  0.5758  0.4166  0.6337  3 Co 1.90-1.92, 3 Li 2.08-2.09
O  0.7266  0.1700  0.9471  2 Co 1.85-1.88, 3 Li 2.01-2.05
O  0.1305  0.5443  0.7672  2 Co 1.85-1.88, 3 Li 2.01-2.05
O  0.7426  0.6958  0.9218  2 Co 1.86-1.87, 3 Li 1.97-2.04
O  0.5722  0.8656  0.6399  2 Co 1.86-1.89, 4 Li 1.97-2.07
O  0.4348  0.1335  0.3465  3 Co 1.89-1.92, 2 Li 2.09-2.10
O  0.2813  0.2977  0.0806  3 Co 1.90-1.92, 3 Li 2.08-2.09
O  0.0072  0.2766  0.4882  3 Co 1.89-1.91, 1 Li 2.09
O  0.8499  0.4376  0.2261  3 Co 1.89-1.91, 1 Li 2.09
O  0.4224  0.5808  0.3678  3 Co 1.89-1.92, 2 Li 2.09-2.10
O  0.8630  0.9879  0.2044  3 Co 1.90-1.92, 3 Li 2.08-2.09



Entry 4:
# Li3Co2O5

A PBEsol-optimized structure of Li3Co2O5 (SCAN, the Alexandria database).

Values from the calculation:
The value obtained for the total moment is 2.0 μB/cell. The raw total energy is -9.1048 eV/atom. For the density of states at the Fermi level, the calculation gives 3.59 states/eV/f.u. Its uncorrected formation energy is -1.811 eV per atom.

abc: 2.8044 5.6644 10.1182
angles: 97.65 97.97 90.00
Closest atoms and distances in Å follow each position.
Fractional coordinates of all 20 atoms:
O  0.3984  0.4745  0.7969  2 Co 1.87, 4 Li 1.95-2.06
O  0.0079  0.2519  0.0158  1 Co 1.78, 3 Li 1.98-1.99
O  0.1955  0.3235  0.3911  3 Co 1.90-1.95, 3 Li 2.09-2.10
O  0.7952  0.1220  0.5905  3 Co 1.90, 2 Li 2.09
O  0.3947  0.9215  0.7893  3 Co 1.88-1.92, 1 Li 2.10
O  0.9921  0.7481  0.9842  1 Co 1.78, 3 Li 1.98-1.99
O  0.6053  0.0785  0.2107  3 Co 1.88-1.92, 1 Li 2.10
O  0.8045  0.6765  0.6089  3 Co 1.90-1.95, 3 Li 2.09-2.10
O  0.6016  0.5255  0.2031  2 Co 1.87, 4 Li 1.95-2.06
O  0.2048  0.8780  0.4095  3 Co 1.90, 2 Li 2.09
Li  0.3005  0.3983  0.6009  6 O 1.95-2.10
Li  0.6995  0.6017  0.3991  6 O 1.95-2.10
Li  0.5000  0.0000  0.0000  6 O 1.99-2.10
Li  0.5000  0.5000  0.0000  6 O 2.01-2.02
Li  0.0920  0.7858  0.1839  5 O 1.98-2.16
Li  0.9080  0.2142  0.8161  5 O 1.98-2.16
Co  0.0976  0.3045  0.1953  6 O 1.78-1.95
Co  0.6998  0.1003  0.3996  6 O 1.88-1.90
Co  0.3002  0.8997  0.6004  6 O 1.88-1.90
Co  0.9024  0.6955  0.8047  6 O 1.78-1.95



Entry 5:
# Li6Co5O10

A PBEsol-optimized structure of Li6Co5O10 (SCAN, the Alexandria database).

Values from the calculation:
The value obtained for the total moment is 9.0 μB/cell. The raw total energy is -9.3906 eV/atom. For the density of states at the Fermi level, the calculation gives 2.76 states/eV/f.u. Its uncorrected formation energy is -1.620 eV per atom.

abc: 5.2311 5.1589 8.2369
angles: 88.07 77.77 74.68
Closest atoms and distances in Å follow each position.
Fractional coordinates of all 21 atoms:
Li  0.9242  0.2113  0.7516  4 O 1.98-2.06
Li  0.9393  0.7677  0.9513  5 O 1.95-2.11
Li  0.0607  0.2323  0.0487  5 O 1.95-2.11
Li  0.9431  0.7346  0.5783  4 O 1.92-2.13
Li  0.0758  0.7887  0.2484  4 O 1.98-2.06
Li  0.0569  0.2654  0.4217  4 O 1.92-2.13
O  0.2193  0.9837  0.8506  2 Co 1.82-1.83, 2 Li 1.98-2.00
O  0.2670  0.7932  0.4410  2 Co 1.79-1.80, 1 Li 1.92
O  0.2212  0.3566  0.6007  2 Co 1.83-1.84, 1 Li 1.98
O  0.7788  0.6434  0.3993  2 Co 1.83-1.84, 1 Li 1.98
O  0.2385  0.5551  0.0452  2 Co 1.81, 2 Li 1.95-1.99
O  0.7111  0.8787  0.7896  2 Co 1.80-1.81, 2 Li 1.94-1.95
O  0.7807  0.0163  0.1494  2 Co 1.82-1.83, 2 Li 1.98-2.00
O  0.7615  0.4449  0.9548  2 Co 1.81, 2 Li 1.95-1.99
O  0.2889  0.1213  0.2104  2 Co 1.80-1.81, 2 Li 1.94-1.95
O  0.7330  0.2068  0.5590  2 Co 1.79-1.80, 1 Li 1.92
Co  0.5385  0.8846  0.2994  4 O 1.79-1.83
Co  0.5000  0.5000  0.5000  4 O 1.80-1.84
Co  0.4615  0.1154  0.7006  4 O 1.79-1.83
Co  0.4786  0.7014  0.9070  4 O 1.81-1.83
Co  0.5214  0.2986  0.0930  4 O 1.81-1.83



Entry 6:
# LiCoO2

A PBEsol-optimized structure of LiCoO2 (SCAN, the Alexandria database).

Values from the calculation:
The value obtained for the total moment is 0.0 μB/cell. The raw total energy is -9.8936 eV/atom. For the density of states at the Fermi level, the calculation gives 0.00 states/eV/f.u. Its uncorrected formation energy is -1.854 eV per atom.

abc: 2.8023 2.8023 9.3557
angles: 90.00 90.00 120.00
Closest atoms and distances in Å follow each position.
Fractional coordinates of all 8 atoms:
O  0.0000  0.0000  0.1075  3 Co 1.91, 3 Li 2.05
O  0.0000  0.0000  0.6075  3 Co 1.91, 3 Li 2.05
O  0.6667  0.3333  0.8923  3 Co 1.91
O  0.3333  0.6667  0.3923  3 Co 1.91
Co  0.3333  0.6667  0.9998  6 O 1.91
Co  0.6667  0.3333  0.4998  6 O 1.91
Li  0.6667  0.3333  0.2415  6 O 2.05-2.15
Li  0.3333  0.6667  0.7415  6 O 2.05-2.15